(1)
# Ca2BeGa2Au4 PBE-GGA relaxed
# Calculated volume: 19.83 A^3/atom
# Formation enthalpy at 0 K: -0.48 eV per atom
# Size of the total moment: 0.000 μB per cell
# VASP energy: -3.469 eV/atom
data_Ca2BeGa2Au4
_chemical_formula_sum 'Ca4 Be2 Ga4 Au8'
_cell_length_a 6.593
_cell_length_b 6.593
_cell_length_c 8.209
_cell_angle_alpha 90.00
_cell_angle_beta 90.00
_cell_angle_gamma 90.00
_symmetry_space_group_name_H-M 'I 4/m m m'
_symmetry_Int_Tables_number 139
_symmetry_space_group_name_Hall '-I 4 2'
loop_
_atom_site_label
_atom_site_type_symbol
_atom_site_fract_x
_atom_site_fract_y
_atom_site_fract_z
Ca1 Ca 0.000 0.500 0.250
Be1 Be 0.000 0.000 0.000
Ga1 Ga 0.000 0.000 0.309
Au1 Au 0.248 0.248 0.500

---

(2)
# ScNi2Br PBE-GGA relaxed
# Calculated volume: 15.86 A^3/atom
# Formation energy (no corrections): 0.072 eV per atom
# Size of the total moment: 0.000 μB per cell
# VASP energy: -4.819 eV/atom
data_ScNi2Br
_chemical_formula_sum 'Sc4 Ni8 Br4'
_cell_length_a 6.331
_cell_length_b 6.331
_cell_length_c 6.331
_cell_angle_alpha 90.00
_cell_angle_beta 90.00
_cell_angle_gamma 90.00
_symmetry_space_group_name_H-M 'F -4 3 m'
_symmetry_Int_Tables_number 216
_symmetry_space_group_name_Hall 'F -4 2 3'
loop_
_atom_site_label
_atom_site_type_symbol
_atom_site_fract_x
_atom_site_fract_y
_atom_site_fract_z
Sc1 Sc 0.000 0.000 0.000
Ni1 Ni 0.000 0.000 0.500
Ni2 Ni 0.250 0.250 0.750
Br1 Br 0.250 0.250 0.250

---

(3)
# HOs3Rh PBE-GGA relaxed
# Calculated volume: 20.94 A^3/atom
# Size of the total moment: 3.648 μB per cell
# VASP energy: -5.730 eV/atom
data_HOs3Rh
_chemical_formula_sum 'H1 Os3 Rh1'
_cell_length_a 4.713
_cell_length_b 4.713
_cell_length_c 4.713
_cell_angle_alpha 90.00
_cell_angle_beta 90.00
_cell_angle_gamma 90.00
_symmetry_space_group_name_H-M 'P m -3 m'
_symmetry_Int_Tables_number 221
_symmetry_space_group_name_Hall '-P 4 2 3'
loop_
_atom_site_label
_atom_site_type_symbol
_atom_site_fract_x
_atom_site_fract_y
_atom_site_fract_z
H1 H 0.000 0.000 0.000
Os1 Os 0.000 0.500 0.500
Rh1 Rh 0.500 0.500 0.500

---

(4)
# CeW4 PBE-GGA relaxed
# Calculated volume: 20.65 A^3/atom
# Formation enthalpy at 0 K: 2.65 eV per atom
# Size of the total moment: 0.000 μB per cell
# VASP energy: -8.901 eV/atom
data_CeW4
_chemical_formula_sum 'Ce1 W4'
_cell_length_a 4.691
_cell_length_b 4.691
_cell_length_c 4.691
_cell_angle_alpha 90.00
_cell_angle_beta 90.00
_cell_angle_gamma 90.00
_symmetry_space_group_name_H-M 'P m -3 m'
_symmetry_Int_Tables_number 221
_symmetry_space_group_name_Hall '-P 4 2 3'
loop_
_atom_site_label
_atom_site_type_symbol
_atom_site_fract_x
_atom_site_fract_y
_atom_site_fract_z
Ce1 Ce 0.000 0.000 0.000
W1 W 0.000 0.000 0.500
W2 W 0.500 0.500 0.500

---

(5)
# AcPm5DyHo2 PBE-GGA relaxed
# Calculated volume: 34.40 A^3/atom
# Formation enthalpy at 0 K: 0.08 eV per atom
# Size of the total moment: 0.000 μB per cell
# VASP energy: -4.541 eV/atom
data_AcPm5DyHo2
_chemical_formula_sum 'Ac4 Pm20 Dy4 Ho8'
_cell_length_a 5.807
_cell_length_b 17.531
_cell_length_c 12.165
_cell_angle_alpha 90.00
_cell_angle_beta 90.00
_cell_angle_gamma 90.00
_symmetry_space_group_name_H-M 'C m c 21'
_symmetry_Int_Tables_number 36
_symmetry_space_group_name_Hall 'C 2c -2'
loop_
_atom_site_label
_atom_site_type_symbol
_atom_site_fract_x
_atom_site_fract_y
_atom_site_fract_z
Ac1 Ac 0.000 0.115 0.000
Pm1 Pm 0.000 0.078 0.341
Pm2 Pm 0.000 0.080 0.664
Pm3 Pm 0.000 0.268 0.795
Pm4 Pm 0.000 0.269 0.206
Pm5 Pm 0.000 0.440 0.648
Dy1 Dy 0.000 0.248 0.500
Ho1 Ho 0.000 0.387 0.000
Ho2 Ho 0.000 0.438 0.353

---

(6)
# FeNiBi3 PBE-GGA relaxed
# Calculated volume: 25.92 A^3/atom
# Formation enthalpy at 0 K: 0.78 eV per atom
# Size of the total moment: 1.025 μB per cell
# VASP energy: -4.400 eV/atom
data_FeNiBi3
_chemical_formula_sum 'Fe1 Ni1 Bi3'
_cell_length_a 5.061
_cell_length_b 5.061
_cell_length_c 5.061
_cell_angle_alpha 90.00
_cell_angle_beta 90.00
_cell_angle_gamma 90.00
_symmetry_space_group_name_H-M 'P m -3 m'
_symmetry_Int_Tables_number 221
_symmetry_space_group_name_Hall '-P 4 2 3'
loop_
_atom_site_label
_atom_site_type_symbol
_atom_site_fract_x
_atom_site_fract_y
_atom_site_fract_z
Fe1 Fe 0.000 0.000 0.000
Ni1 Ni 0.500 0.500 0.500
Bi1 Bi 0.000 0.000 0.500